1.
NaYNiTe3 | PBE | optimized geometry

Computed properties:
**VASP energy**: -4.63 eV/atom

```
data_NaYNiTe3
_symmetry_space_group_name_H-M 'C m c m'
_symmetry_Int_Tables_number 63
_symmetry_space_group_name_Hall '-C 2c 2'
_cell_length_a 4.134
_cell_length_b 15.643
_cell_length_c 10.620
_cell_angle_alpha 90.00
_cell_angle_beta 90.00
_cell_angle_gamma 90.00
loop_
_atom_site_label
_atom_site_fract_x
_atom_site_fract_y
_atom_site_fract_z
Na1 0.000 0.249 0.250
Y1 0.000 0.000 0.000
Ni1 0.000 0.490 0.750
Te1 0.000 0.091 0.750
Te2 0.000 0.369 0.589
```

=====

2.
Er5Tm2Te2Pd2 | PBE | optimized geometry

Computed properties:
**VASP energy**: -5.25 eV/atom

```
data_Er5Tm2Te2Pd2
_symmetry_space_group_name_H-M 'I m m 2'
_symmetry_Int_Tables_number 44
_symmetry_space_group_name_Hall 'I 2 -2'
_cell_length_a 3.910
_cell_length_b 15.589
_cell_length_c 9.579
_cell_angle_alpha 90.00
_cell_angle_beta 90.00
_cell_angle_gamma 90.00
loop_
_atom_site_label
_atom_site_fract_x
_atom_site_fract_y
_atom_site_fract_z
Er1 0.000 0.000 0.000
Er2 0.000 0.129 0.417
Er3 0.000 0.317 0.625
Tm1 0.000 0.356 0.266
Te1 0.000 0.000 0.663
Te2 0.000 0.500 0.765
Pd1 0.000 0.237 0.928
```

=====

Which value of VASP energy does entry 1 give? -4.63 eV/atom